Computed, not measured: an optimized crystal structure of K2GaReIr at the PBE-GGA level of DFT.

Properties
Total DFT energy (no corrections)   -3.952 eV per atom
Space group   P4/mmm, No. 123

Lattice parameters (Å, degrees): 6.3442 6.3442 4.6966 90.00 90.00 90.00
Positions (direct):
K 0.0000 0.5000 0.0000
K 0.5000 0.0000 0.0000
Ga 0.0000 0.0000 0.5000
Re 0.5000 0.5000 0.0000
Ir 0.5000 0.5000 0.5000



Computed, not measured: an optimized crystal structure of KGa2SnIr at the PBE-GGA level of DFT.

Properties
Total DFT energy (no corrections)   -4.137 eV per atom
Space group   P4/mmm, No. 123

Lattice parameters (Å, degrees): 4.8908 4.8908 5.3939 90.00 90.00 90.00
Positions (direct):
K 0.0000 0.0000 0.0000
Ga 0.0000 0.5000 0.5000
Ga 0.5000 0.0000 0.5000
Sn 0.5000 0.5000 0.0000
Ir 0.5000 0.5000 0.5000



Computed, not measured: an optimized crystal structure of KSrGa2Ir at the PBE-GGA level of DFT.

Properties
Total DFT energy (no corrections)   -3.769 eV per atom
Space group   P4/mmm, No. 123

Lattice parameters (Å, degrees): 4.9626 4.9626 5.7146 90.00 90.00 90.00
Positions (direct):
K 0.0000 0.0000 0.0000
Sr 0.5000 0.5000 0.0000
Ga 0.0000 0.5000 0.5000
Ga 0.5000 0.0000 0.5000
Ir 0.5000 0.5000 0.5000



Computed, not measured: an optimized crystal structure of KTl2GaIr at the PBE-GGA level of DFT.

Properties
Total DFT energy (no corrections)   -3.587 eV per atom
Space group   P4/mmm, No. 123

Lattice parameters (Å, degrees): 5.3750 5.3750 4.9233 90.00 90.00 90.00
Positions (direct):
K 0.0000 0.0000 0.0000
Tl 0.0000 0.5000 0.5000
Tl 0.5000 0.0000 0.5000
Ga 0.5000 0.5000 0.0000
Ir 0.5000 0.5000 0.5000



Computed, not measured: an optimized crystal structure of KZn2GaIr at the PBE-GGA level of DFT.

Properties
Total DFT energy (no corrections)   -3.361 eV per atom
Space group   P4/mmm, No. 123

Lattice parameters (Å, degrees): 4.9630 4.9630 4.7957 90.00 90.00 90.00
Positions (direct):
K 0.0000 0.0000 0.0000
Zn 0.0000 0.5000 0.5000
Zn 0.5000 0.0000 0.5000
Ga 0.5000 0.5000 0.0000
Ir 0.5000 0.5000 0.5000



Computed, not measured: an optimized crystal structure of LaGaIr3 at the PBE-GGA level of DFT.

Properties
Energy above the most stable polymorph in this dataset   0 meV/atom
Space group   Pm-3m, No. 221

Lattice parameters (Å, degrees): 4.6536 4.6536 4.6536 90.00 90.00 90.00
Positions (direct):
La 0.0000 0.0000 0.0000
Ga 0.5000 0.5000 0.5000
Ir 0.0000 0.5000 0.5000
Ir 0.5000 0.0000 0.5000
Ir 0.5000 0.5000 0.0000



Computed, not measured: an optimized crystal structure of LaGa12Ir4 at the PBE-GGA level of DFT.

Properties
Total DFT energy (no corrections)   -4.721 eV per atom
Space group   Im-3, No. 204

Lattice parameters (Å, degrees): 7.6839 7.6839 7.6839 109.47 109.47 109.47
Positions (direct):
La 0.0000 0.0000 0.0000
Ga 0.1632 0.3381 0.5013
Ga 0.1632 0.6619 0.8251
Ga 0.1749 0.8368 0.3381
Ga 0.3381 0.1749 0.8368
Ga 0.3381 0.5013 0.1632
Ga 0.4987 0.8368 0.6619
Ga 0.5013 0.1632 0.3381
Ga 0.6619 0.4987 0.8368
Ga 0.6619 0.8251 0.1632
Ga 0.8251 0.1632 0.6619
Ga 0.8368 0.3381 0.1749
Ga 0.8368 0.6619 0.4987
Ir 0.0000 0.0000 0.5000
Ir 0.0000 0.5000 0.0000
Ir 0.5000 0.0000 0.0000
Ir 0.5000 0.5000 0.5000



Computed, not measured: an optimized crystal structure of LaGa8Ir2 at the PBE-GGA level of DFT.

Properties
Total DFT energy (no corrections)   -4.326 eV per atom
Space group   P4/mmm, No. 123

Lattice parameters (Å, degrees): 5.8363 5.8363 7.9518 90.00 90.00 90.00
Positions (direct):
La 0.0000 0.0000 0.0000
Ga 0.2532 0.2532 0.3079
Ga 0.2532 0.2532 0.6921
Ga 0.2532 0.7468 0.3079
Ga 0.2532 0.7468 0.6921
Ga 0.7468 0.2532 0.3079
Ga 0.7468 0.2532 0.6921
Ga 0.7468 0.7468 0.3079
Ga 0.7468 0.7468 0.6921
Ir 0.0000 0.5000 0.5000
Ir 0.5000 0.0000 0.5000



Computed, not measured: an optimized crystal structure of LaGaIr2 at the PBE-GGA level of DFT.

Properties
Total DFT energy (no corrections)   -6.626 eV per atom
Space group   I-42d, No. 122

Lattice parameters (Å, degrees): 5.9935 5.9935 5.9935 104.48 104.48 120.00
Positions (direct):
La 0.0000 0.0000 0.0000
La 0.7500 0.2500 0.5000
Ga 0.2500 0.7500 0.5000
Ga 0.5000 0.5000 0.0000
Ir 0.1769 0.1250 0.5519
Ir 0.3750 0.8231 0.9481
Ir 0.5731 0.6250 0.4481
Ir 0.8750 0.4269 0.0519



Computed, not measured: an optimized crystal structure of LaGa9Ir2 at the PBE-GGA level of DFT.

Properties
Energy above the most stable polymorph in this dataset   12 meV/atom
Space group   I4_1/amd, No. 141

Lattice parameters (Å, degrees): 8.3572 8.3572 8.3572 102.26 102.26 125.13
Positions (direct):
La 0.3750 0.6250 0.7500
La 0.6250 0.3750 0.2500
Ga 0.1250 0.8750 0.2500
Ga 0.1431 0.5659 0.3355
Ga 0.1431 0.8075 0.5771
Ga 0.1925 0.2696 0.3355
Ga 0.1925 0.8569 0.9229
Ga 0.2696 0.1925 0.8355
Ga 0.2696 0.4341 0.0771
Ga 0.4341 0.2696 0.5771
Ga 0.4341 0.8569 0.1645
Ga 0.5659 0.1431 0.8355
Ga 0.5659 0.7304 0.4229
Ga 0.7304 0.5659 0.9229
Ga 0.7304 0.8075 0.1645
Ga 0.8075 0.1431 0.0771
Ga 0.8075 0.7304 0.6645
Ga 0.8569 0.1925 0.4229
Ga 0.8569 0.4341 0.6645
Ga 0.8750 0.1250 0.7500
Ir 0.0000 0.0000 0.0000
Ir 0.0000 0.0000 0.5000
Ir 0.0000 0.5000 0.0000
Ir 0.5000 0.0000 0.5000



Computed, not measured: an optimized crystal structure of La3Ga2Ir3 at the PBE-GGA level of DFT.

Properties
Total DFT energy (no corrections)   -6.675 eV per atom
Space group   Cmcm, No. 63

Lattice parameters (Å, degrees): 6.3854 6.3854 14.3875 90.00 90.00 142.00
Positions (direct):
La 0.0781 0.9219 0.6121
La 0.0781 0.9219 0.8879
La 0.3485 0.6515 0.7500
La 0.6515 0.3485 0.2500
La 0.9219 0.0781 0.1121
La 0.9219 0.0781 0.3879
Ga 0.2221 0.7779 0.0805
Ga 0.2221 0.7779 0.4195
Ga 0.7779 0.2221 0.5805
Ga 0.7779 0.2221 0.9195
Ir 0.3192 0.6808 0.2500
Ir 0.3952 0.6048 0.5403
Ir 0.3952 0.6048 0.9597
Ir 0.6048 0.3952 0.0403
Ir 0.6048 0.3952 0.4597
Ir 0.6808 0.3192 0.7500



Computed, not measured: an optimized crystal structure of LaGa6Ir4 at the PBE-GGA level of DFT.

Properties
Total DFT energy (no corrections)   -5.888 eV per atom
Space group   P-6m2, No. 187

Lattice parameters (Å, degrees): 7.4386 7.4386 3.9565 90.00 90.00 120.00
Positions (direct):
La 0.0000 0.0000 0.0000
Ga 0.1956 0.3912 0.5000
Ga 0.1956 0.8044 0.5000
Ga 0.5318 0.0636 0.0000
Ga 0.5318 0.4682 0.0000
Ga 0.6088 0.8044 0.5000
Ga 0.9364 0.4682 0.0000
Ir 0.3333 0.6667 0.0000
Ir 0.4089 0.2045 0.5000
Ir 0.7955 0.2045 0.5000
Ir 0.7955 0.5911 0.5000



Computed, not measured: an optimized crystal structure of La3Ga3Ir2 at the PBE-GGA level of DFT.

Properties
Total DFT energy (no corrections)   -5.939 eV per atom
Space group   Cmcm, No. 63

Lattice parameters (Å, degrees): 5.9028 5.9028 15.7989 90.00 90.00 137.56
Positions (direct):
La 0.0619 0.9381 0.6059
La 0.0619 0.9381 0.8941
La 0.3399 0.6601 0.7500
La 0.6601 0.3399 0.2500
La 0.9381 0.0619 0.1059
La 0.9381 0.0619 0.3941
Ga 0.3421 0.6579 0.5339
Ga 0.3421 0.6579 0.9661
Ga 0.3652 0.6348 0.2500
Ga 0.6348 0.3652 0.7500
Ga 0.6579 0.3421 0.0339
Ga 0.6579 0.3421 0.4661
Ir 0.2241 0.7759 0.1133
Ir 0.2241 0.7759 0.3867
Ir 0.7759 0.2241 0.6133
Ir 0.7759 0.2241 0.8867



Computed, not measured: an optimized crystal structure of La3Ga4Ir2 at the PBE-GGA level of DFT.

Properties
Energy above the most stable polymorph in this dataset   39 meV/atom
Space group   C2/m, No. 12

Lattice parameters (Å, degrees): 5.8602 5.8602 8.4688 102.47 102.47 46.22
Positions (direct):
La 0.0000 0.0000 0.0000
La 0.3849 0.3849 0.3003
La 0.6151 0.6151 0.6997
Ga 0.1040 0.1040 0.4111
Ga 0.2828 0.2828 0.9174
Ga 0.7172 0.7172 0.0826
Ga 0.8960 0.8960 0.5889
Ir 0.3138 0.3138 0.6327
Ir 0.6862 0.6862 0.3673



Computed, not measured: an optimized crystal structure of La3Ga3Ir2 at the PBE-GGA level of DFT.

Properties
Total DFT energy (no corrections)   -5.930 eV per atom
Space group   Pnma, No. 62

Lattice parameters (Å, degrees): 8.1007 15.5282 5.8879 90.00 90.00 90.00
Positions (direct):
La 0.0296 0.1066 0.1042
La 0.0296 0.3934 0.1042
La 0.1594 0.2500 0.6161
La 0.3406 0.7500 0.1161
La 0.4704 0.6066 0.6042
La 0.4704 0.8934 0.6042
La 0.5296 0.1066 0.3958
La 0.5296 0.3934 0.3958
La 0.6594 0.2500 0.8839
La 0.8406 0.7500 0.3839
La 0.9704 0.6066 0.8958
La 0.9704 0.8934 0.8958
Ga 0.1597 0.0385 0.5946
Ga 0.1597 0.4615 0.5946
Ga 0.1821 0.7500 0.6049
Ga 0.3179 0.2500 0.1049
Ga 0.3403 0.5385 0.0946
Ga 0.3403 0.9615 0.0946
Ga 0.6597 0.0385 0.9054
Ga 0.6597 0.4615 0.9054
Ga 0.6821 0.7500 0.8951
Ga 0.8179 0.2500 0.3951
Ga 0.8403 0.5385 0.4054
Ga 0.8403 0.9615 0.4054
Ir 0.1343 0.6054 0.3725
Ir 0.1343 0.8946 0.3725
Ir 0.3657 0.1054 0.8725
Ir 0.3657 0.3946 0.8725
Ir 0.6343 0.6054 0.1275
Ir 0.6343 0.8946 0.1275
Ir 0.8657 0.1054 0.6275
Ir 0.8657 0.3946 0.6275



Computed, not measured: an optimized crystal structure of LaGa4Ir3 at the PBE-GGA level of DFT.

Properties
Total DFT energy (no corrections)   -6.005 eV per atom
Space group   P4/mmm, No. 123

Lattice parameters (Å, degrees): 4.2437 4.2437 8.3630 90.00 90.00 90.00
Positions (direct):
La 0.0000 0.0000 0.0000
Ga 0.0000 0.5000 0.3263
Ga 0.0000 0.5000 0.6737
Ga 0.5000 0.0000 0.3263
Ga 0.5000 0.0000 0.6737
Ir 0.0000 0.0000 0.5000
Ir 0.5000 0.5000 0.1521
Ir 0.5000 0.5000 0.8479



Computed, not measured: an optimized crystal structure of La4Ga2Ir at the PBE-GGA level of DFT.

Properties
Energy above the most stable polymorph in this dataset   47 meV/atom
Space group   C2, No. 5

Lattice parameters (Å, degrees): 8.4699 8.4699 7.6995 117.03 117.03 77.70
Positions (direct):
La 0.9998 0.9998 0.2305
La 0.0002 0.0002 0.7695
La 0.0275 0.5151 0.2715
La 0.1145 0.4300 0.7721
La 0.4849 0.9725 0.7285
La 0.5700 0.8855 0.2279
La 0.5991 0.4005 0.2695
La 0.5995 0.4009 0.7305
Ga 0.2997 0.2002 0.2506
Ga 0.2999 0.6999 0.2524
Ga 0.3001 0.7001 0.7476
Ga 0.7998 0.7003 0.7494
Ir 0.7804 0.2196 0.0000
Ir 0.8190 0.1810 0.5000



Computed, not measured: an optimized crystal structure of La3Ga2Ir at the PBE-GGA level of DFT.

Properties
Total DFT energy (no corrections)   -5.597 eV per atom
Space group   Pnma, No. 62

Lattice parameters (Å, degrees): 12.5409 4.2835 12.2694 90.00 90.00 90.00
Positions (direct):
La 0.0457 0.2500 0.1291
La 0.1152 0.7500 0.5506
La 0.2332 0.2500 0.7930
La 0.2668 0.7500 0.2930
La 0.3848 0.2500 0.0506
La 0.4543 0.7500 0.6291
La 0.5457 0.2500 0.3709
La 0.6152 0.7500 0.9494
La 0.7332 0.2500 0.7070
La 0.7668 0.7500 0.2070
La 0.8848 0.2500 0.4494
La 0.9543 0.7500 0.8709
Ga 0.0145 0.7500 0.3093
Ga 0.1926 0.7500 0.9998
Ga 0.3074 0.2500 0.4998
Ga 0.4855 0.2500 0.8093
Ga 0.5145 0.7500 0.1907
Ga 0.6926 0.7500 0.5002
Ga 0.8074 0.2500 0.0002
Ga 0.9855 0.2500 0.6907
Ir 0.1331 0.2500 0.3791
Ir 0.3669 0.7500 0.8791
Ir 0.6331 0.2500 0.1209
Ir 0.8669 0.7500 0.6209



Computed, not measured: an optimized crystal structure of La3Ga6Ir5 at the PBE-GGA level of DFT.

Properties
Total DFT energy (no corrections)   -6.209 eV per atom
Space group   Pmmn, No. 59

Lattice parameters (Å, degrees): 4.2555 13.0550 9.6213 90.00 90.00 90.00
Positions (direct):
La 0.2500 0.0571 0.2496
La 0.2500 0.4429 0.2496
La 0.2500 0.7500 0.2370
La 0.7500 0.2500 0.7630
La 0.7500 0.5571 0.7504
La 0.7500 0.9429 0.7504
Ga 0.2500 0.0672 0.9113
Ga 0.2500 0.2500 0.0705
Ga 0.2500 0.2500 0.4657
Ga 0.2500 0.4328 0.9113
Ga 0.2500 0.5987 0.5179
Ga 0.2500 0.9013 0.5179
Ga 0.7500 0.0987 0.4821
Ga 0.7500 0.4013 0.4821
Ga 0.7500 0.5672 0.0887
Ga 0.7500 0.7500 0.5343
Ga 0.7500 0.7500 0.9295
Ga 0.7500 0.9328 0.0887
Ir 0.2500 0.0919 0.6311
Ir 0.2500 0.4081 0.6311
Ir 0.2500 0.6391 0.9607
Ir 0.2500 0.7500 0.7037
Ir 0.2500 0.8609 0.9607
Ir 0.7500 0.1391 0.0393
Ir 0.7500 0.2500 0.2963
Ir 0.7500 0.3609 0.0393
Ir 0.7500 0.5919 0.3689
Ir 0.7500 0.9081 0.3689



Values for size of the total moment, μB per atom, ordered as above
0.582 0.000 0.000 0.000 0.000 0.000 0.000 0.000 0.000 0.000 0.000 0.000 0.000 0.000 0.000 0.000 0.000 0.000 0.000